# 1
This record from Alexandria describes a geometry-optimized Sr2CrW structure. The functional is PBE-GGA.

Output
For the magnetization, the calculation gives 4.6 μB per cell. The value obtained for the formation energy is 5.7 eV/f.u. The calculation puts the offset from the most stable computed form at 729.9 meV/atom.

Cell: 11.261 11.261 11.261 Å, 16.85 16.85 16.85°
Fractional positions:
Sr 0.245 0.245 0.245
Sr 0.755 0.755 0.755
Cr 0.000 0.000 0.000
W 0.500 0.500 0.500

# 2
This record from Alexandria describes a geometry-optimized ScRh2 structure. The functional is PBE-GGA.

Output
For the magnetization, the calculation gives 0.0 μB per cell. The value obtained for the formation energy is -1.6 eV/f.u.

Cell: 4.373 4.373 3.004 Å, 90.00 90.00 120.00°
Fractional positions:
Sc 0.000 0.000 0.000
Rh 0.333 0.667 0.500
Rh 0.667 0.333 0.500

# 3
This record from Alexandria describes a geometry-optimized TcSbSe2 structure. The functional is PBE-GGA.

Output
For the magnetization, the calculation gives 0.0 μB per cell. Its uncorrected formation energy is 13.267 kcal/mol of atoms.

Cell: 9.953 9.953 9.953 Å, 18.28 18.28 18.28°
Fractional positions:
Tc 0.000 0.000 0.000
Sb 0.500 0.500 0.500
Se 0.080 0.080 0.080
Se 0.920 0.920 0.920

# 4
This record from Alexandria describes a geometry-optimized SmCoAs2 structure. The functional is PBE-GGA.

Output
For the magnetization, the calculation gives 0.2 μB per cell. The value obtained for the formation energy is -3.2 eV/f.u.

Cell: 5.626 5.626 5.626 Å, 138.22 138.22 60.57°
Fractional positions:
Sm 0.000 0.000 0.000
Co 0.250 0.750 0.500
As 0.362 0.362 0.000
As 0.638 0.638 0.000